No. 1
Here is a relaxed structure of ScSi2Pd from OQMD. Energies are from PBE-GGA.

abc: 4.4949 4.4949 4.4949
angles: 60.00 60.00 60.00
Closest atoms and distances in Å follow each position.
Fractional positions:
Pd (0.7500, 0.7500, 0.7500)  4 Si 2.75, 4 Sc 2.75
Sc (0.0000, 0.0000, 0.0000)  4 Pd 2.75, 4 Si 2.75
Si (0.2500, 0.2500, 0.2500)  4 Sc 2.75, 4 Si 2.75
Si (0.5000, 0.5000, 0.5000)  4 Pd 2.75, 4 Si 2.75

Output
The total energy is -5.8912 eV per atom.


No. 2
Here is a relaxed structure of AlZnCoAg from OQMD. Energies are from PBE-GGA.

abc: 4.2876 4.2876 4.2876
angles: 60.00 60.00 60.00
Closest atoms and distances in Å follow each position.
Fractional positions:
Ag (0.2500, 0.2500, 0.2500)  4 Zn 2.63, 4 Al 2.63
Al (0.0000, 0.0000, 0.0000)  4 Co 2.63, 4 Ag 2.63
Co (0.7500, 0.7500, 0.7500)  4 Al 2.63, 4 Zn 2.63
Zn (0.5000, 0.5000, 0.5000)  4 Co 2.63, 4 Ag 2.63

Output
As for the energy above the most stable polymorph in this dataset: 0.00 kJ/mol of atoms.


No. 3
Here is a relaxed structure of NpTcOs from OQMD. Energies are from PBE-GGA.

abc: 4.3730 4.3730 4.3730
angles: 60.00 60.00 60.00
Closest atoms and distances in Å follow each position.
Fractional positions:
Np (0.2500, 0.2500, 0.2500)  4 Os 2.68
Os (0.0000, 0.0000, 0.0000)  4 Np 2.68, 4 Tc 2.68
Tc (0.7500, 0.7500, 0.7500)  4 Os 2.68

Output
The energy of formation from the pure elements is 0.60 eV/atom.


No. 4
Here is a relaxed structure of Mg3CoSi2 from OQMD. Energies are from PBE-GGA.

abc: 4.2961 4.2961 5.9692
angles: 90.00 90.00 90.00
Closest atoms and distances in Å follow each position.
Fractional positions:
Co (0.0000, 0.0000, 0.5000)  4 Si 2.51
Mg (0.0000, 0.0000, 0.0000)  4 Si 2.73, 2 Co 2.98, 4 Mg 3.04
Mg (0.5000, 0.5000, 0.0000)  4 Si 2.73, 6 Mg 2.98-3.04
Mg (0.5000, 0.5000, 0.5000)  4 Si 2.51
Si (0.5000, 0.0000, 0.2816)  2 Co 2.51, 6 Mg 2.51-2.73
Si (0.0000, 0.5000, 0.7184)  2 Co 2.51, 6 Mg 2.51-2.73

Output
The total energy is -3.7187 eV per atom.


No. 5
Here is a relaxed structure of NaNdNO from OQMD. Energies are from PBE-GGA.

abc: 5.0111 5.0111 4.7665
angles: 90.00 90.00 90.00
Closest atoms and distances in Å follow each position.
Fractional positions:
N (0.7500, 0.7500, 0.4981)  2 Na 2.38-2.39, 4 Nd 2.51
N (0.2500, 0.2500, 0.5019)  2 Na 2.38-2.39, 4 Nd 2.51
Na (0.2500, 0.2500, 0.0014)  2 N 2.38-2.39, 4 O 2.51
Na (0.7500, 0.7500, 0.9986)  2 N 2.38-2.39, 4 O 2.51
Nd (0.7500, 0.2500, 0.5000)  2 O 2.38, 4 N 2.51
Nd (0.2500, 0.7500, 0.5000)  2 O 2.38, 4 N 2.51
O (0.7500, 0.2500, 0.0000)  2 Nd 2.38, 4 Na 2.51
O (0.2500, 0.7500, 0.0000)  2 Nd 2.38, 4 Na 2.51

Output
As for the energy above the most stable polymorph in this dataset: 3.23 kJ/mol of atoms.


No. 6
Here is a relaxed structure of LuMgTlCu from OQMD. Energies are from PBE-GGA.

abc: 4.8710 4.8710 4.8710
angles: 60.00 60.00 60.00
Closest atoms and distances in Å follow each position.
Fractional positions:
Cu (0.7500, 0.7500, 0.7500)  4 Lu 2.98, 4 Tl 2.98
Lu (0.5000, 0.5000, 0.5000)  4 Mg 2.98, 4 Cu 2.98
Mg (0.2500, 0.2500, 0.2500)  4 Tl 2.98, 4 Lu 2.98
Tl (0.0000, 0.0000, 0.0000)  4 Mg 2.98, 4 Cu 2.98

Output
As for the energy above the most stable polymorph in this dataset: 0.00 kJ/mol of atoms.


No. 7
Here is a relaxed structure of RbNaMoSe3 from OQMD. Energies are from PBE-GGA.

abc: 7.9015 7.9015 10.5554
angles: 90.00 90.00 150.60
Closest atoms and distances in Å follow each position.
Fractional positions:
Mo (0.5000, 0.5000, 0.0000)  6 Se 2.65-2.79
Mo (0.5000, 0.5000, 0.5000)  6 Se 2.65-2.79
Na (0.9455, 0.0545, 0.2500)  4 Se 2.64-2.66
Na (0.0545, 0.9455, 0.7500)  4 Se 2.64-2.66
Rb (0.2431, 0.7569, 0.2500)  4 Se 3.43-3.45, 2 Na 3.69
Rb (0.7569, 0.2431, 0.7500)  4 Se 3.43-3.45, 2 Na 3.69
Se (0.8871, 0.1129, 0.0147)  1 Na 2.64, 2 Mo 2.65
Se (0.5597, 0.4403, 0.2500)  2 Na 2.66, 2 Mo 2.79
Se (0.8871, 0.1129, 0.4853)  1 Na 2.64, 2 Mo 2.65
Se (0.1129, 0.8871, 0.5147)  1 Na 2.64, 2 Mo 2.65
Se (0.4403, 0.5597, 0.7500)  2 Na 2.66, 2 Mo 2.79
Se (0.1129, 0.8871, 0.9853)  1 Na 2.64, 2 Mo 2.65

Output
The total energy is -4.4507 eV per atom.


No. 8
Here is a relaxed structure of Na2ZrSe2S from OQMD. Energies are from PBE-GGA.

abc: 6.8700 6.8700 7.1671
angles: 99.28 99.28 119.65
Closest atoms and distances in Å follow each position.
Fractional positions:
Na (0.0000, 0.0000, 0.0000)  2 S 2.91, 4 Se 2.92
Na (0.8475, 0.1525, 0.5000)  4 Se 2.91-3.03, 2 S 2.97
Na (0.5000, 0.5000, 0.5000)  2 S 2.84, 4 Se 3.01
Na (0.1525, 0.8475, 0.5000)  4 Se 2.91-3.03, 2 S 2.97
S (0.7095, 0.7095, 0.2173)  2 Zr 2.60, 2 Na 2.84-2.91
S (0.2905, 0.2905, 0.7827)  2 Zr 2.60, 2 Na 2.84-2.91
Se (0.4348, 0.0749, 0.2293)  2 Zr 2.72-2.74, 4 Na 2.91-3.03
Se (0.0749, 0.4348, 0.2293)  2 Zr 2.72-2.74, 4 Na 2.91-3.03
Se (0.9251, 0.5652, 0.7707)  2 Zr 2.72-2.74, 4 Na 2.91-3.03
Se (0.5652, 0.9251, 0.7707)  2 Zr 2.72-2.74, 4 Na 2.91-3.03
Zr (0.6614, 0.3386, 0.0000)  2 S 2.60, 4 Se 2.72-2.74
Zr (0.3386, 0.6614, 0.0000)  2 S 2.60, 4 Se 2.72-2.74

Output
The total energy is -5.0570 eV per atom.


No. 9
Here is a relaxed structure of Li2AlIrSe4 from OQMD. Energies are from PBE-GGA.

abc: 7.2153 7.2153 7.2153
angles: 134.46 134.46 66.37
Closest atoms and distances in Å follow each position.
Fractional positions:
Al (0.0000, 0.0000, 0.0000)  4 Se 2.42
Ir (0.7500, 0.2500, 0.5000)  4 Se 2.42
Li (0.5000, 0.5000, 0.0000)  4 Se 2.49
Li (0.2500, 0.7500, 0.5000)  4 Se 2.62
Se (0.3817, 0.8928, 0.0335)  1 Ir 2.42, 1 Al 2.42, 2 Li 2.49-2.62
Se (0.1072, 0.1407, 0.4889)  1 Ir 2.42, 1 Al 2.42, 2 Li 2.49-2.62
Se (0.6518, 0.6183, 0.5111)  1 Ir 2.42, 1 Al 2.42, 2 Li 2.49-2.62
Se (0.8593, 0.3482, 0.9665)  1 Ir 2.42, 1 Al 2.42, 2 Li 2.49-2.62

Output
The total energy is -4.3581 eV per atom.


No. 10
Here is a relaxed structure of FeBiPtW from OQMD. Energies are from PBE-GGA.

abc: 4.5964 4.5964 4.5964
angles: 60.00 60.00 60.00
Closest atoms and distances in Å follow each position.
Fractional positions:
Bi (0.0000, 0.0000, 0.0000)  4 Fe 2.81, 4 Pt 2.81
Fe (0.7500, 0.7500, 0.7500)  4 Bi 2.81, 4 W 2.81
Pt (0.2500, 0.2500, 0.2500)  4 W 2.81, 4 Bi 2.81
W (0.5000, 0.5000, 0.5000)  4 Pt 2.81, 4 Fe 2.81

Output
As for the energy above the most stable polymorph in this dataset: 12.79 kJ/mol of atoms.


No. 11
Here is a relaxed structure of GdBiPd from OQMD. Energies are from PBE-GGA.

abc: 7.5786 4.5753 8.3203
angles: 90.00 90.00 90.00
Closest atoms and distances in Å follow each position.
Fractional positions:
Bi (0.7491, 0.7500, 0.1044)  4 Pd 2.83-2.93
Bi (0.2491, 0.7500, 0.3956)  4 Pd 2.83-2.93
Bi (0.7509, 0.2500, 0.6044)  4 Pd 2.83-2.93
Bi (0.2509, 0.2500, 0.8956)  4 Pd 2.83-2.93
Gd (0.0150, 0.2500, 0.2127)  3 Pd 3.10-3.14, 5 Bi 3.18-3.27
Gd (0.5150, 0.2500, 0.2873)  3 Pd 3.10-3.14, 5 Bi 3.18-3.27
Gd (0.4850, 0.7500, 0.7127)  3 Pd 3.10-3.14, 5 Bi 3.18-3.27
Gd (0.9850, 0.7500, 0.7873)  3 Pd 3.10-3.14, 5 Bi 3.18-3.27
Pd (0.3641, 0.7500, 0.0683)  4 Bi 2.83-2.93, 3 Gd 3.10-3.14
Pd (0.8641, 0.7500, 0.4317)  4 Bi 2.83-2.93, 3 Gd 3.10-3.14
Pd (0.1359, 0.2500, 0.5683)  4 Bi 2.83-2.93, 3 Gd 3.10-3.14
Pd (0.6359, 0.2500, 0.9317)  4 Bi 2.83-2.93, 3 Gd 3.10-3.14

Output
The total energy is -5.4521 eV per atom.